Density functional theory data (GGA-PBE) for an optimized crystal structure of Sr5Ag2Pd.

Unit cell a=4.746 b=8.844 c=13.652 alpha=90.00 beta=90.00 gamma=90.00
Positions (direct):
Sr (0.500, 0.174, 0.086)
Sr (0.000, 0.000, 0.500)
Sr (0.000, 0.162, 0.803)
Sr (0.000, 0.662, 0.697)
Sr (0.500, 0.326, 0.586)
Ag (0.500, 0.545, 0.172)
Sr (0.500, 0.826, 0.914)
Ag (0.500, 0.045, 0.328)
Sr (0.000, 0.500, 0.000)
Pd (0.000, 0.000, 0.000)
Ag (0.500, 0.955, 0.672)
Sr (0.000, 0.838, 0.197)
Sr (0.000, 0.338, 0.303)
Pd (0.000, 0.500, 0.500)
Sr (0.500, 0.674, 0.414)
Ag (0.500, 0.455, 0.828)

Computed properties:
Its crystal system is orthorhombic. As for the total energy: -2.742 eV/atom. As for the formation energy from the elements: -0.329 eV/atom.